VASP calculation (PBE-GGA) on a geometry-optimized Ca2Zn3Pt4 structure.

* crystal system: orthorhombic
* ΔE_f: -6.8 eV per formula unit

Lattice parameters (Å, degrees): 5.6510 7.4598 8.2377 90.00 110.06 90.00
Fractional coordinates of all 18 atoms:
Ca (0.8968, 0.4067, 0.7936)
Pt (0.6730, 0.5184, 0.3460)
Pt (0.3270, 0.4816, 0.6540)
Zn (0.9865, 0.2500, 0.4730)
Pt (0.8175, 0.2500, 0.1351)
Pt (0.3175, 0.2500, 0.1351)
Zn (0.4865, 0.2500, 0.4730)
Ca (0.3968, 0.0933, 0.7936)
Pt (0.1730, 0.9816, 0.3460)
Ca (0.6032, 0.9067, 0.2064)
Pt (0.1825, 0.7500, 0.8649)
Ca (0.1032, 0.5933, 0.2064)
Zn (0.5000, 0.5000, 0.0000)
Zn (0.5135, 0.7500, 0.5270)
Pt (0.6825, 0.7500, 0.8649)
Zn (0.0135, 0.7500, 0.5270)
Zn (0.0000, 0.0000, 0.0000)
Pt (0.8270, 0.0184, 0.6540)

VASP calculation (PBE-GGA) on a geometry-optimized CaZn3Pt2 structure.

* crystal system: trigonal
* ΔE_f: -2.0 eV per formula unit

Lattice parameters (Å, degrees): 6.0157 6.0157 7.5516 66.53 66.53 60.00
Fractional coordinates of all 12 atoms:
Pt (0.0000, 0.5000, 0.0000)
Ca (0.7799, 0.7799, 0.6602)
Zn (0.2774, 0.2774, 0.6968)
Zn (0.7226, 0.2516, 0.3032)
Zn (0.2774, 0.7484, 0.6968)
Zn (0.7484, 0.2774, 0.6968)
Pt (0.5000, 0.0000, 0.0000)
Zn (0.2516, 0.7226, 0.3032)
Pt (0.5000, 0.5000, 0.0000)
Ca (0.2201, 0.2201, 0.3398)
Zn (0.7226, 0.7226, 0.3032)
Pt (0.0000, 0.0000, 0.0000)

VASP calculation (PBE-GGA) on a geometry-optimized Ca3Zn2Pt structure.

* crystal system: orthorhombic
* ΔE_f: -3.1 eV per formula unit

Lattice parameters (Å, degrees): 4.2943 12.1156 12.1036 90.00 90.00 90.00
Fractional coordinates of all 24 atoms:
Zn (0.2500, 0.0057, 0.3013)
Zn (0.7500, 0.9943, 0.6987)
Ca (0.2500, 0.7065, 0.2235)
Ca (0.2500, 0.4489, 0.3846)
Ca (0.7500, 0.9489, 0.1154)
Ca (0.2500, 0.3730, 0.0512)
Ca (0.7500, 0.2935, 0.7765)
Zn (0.7500, 0.5057, 0.1987)
Zn (0.7500, 0.3099, 0.5171)
Zn (0.2500, 0.4943, 0.8013)
Zn (0.2500, 0.6901, 0.4829)
Ca (0.2500, 0.7935, 0.7235)
Zn (0.2500, 0.8099, 0.9829)
Pt (0.2500, 0.3706, 0.6240)
Ca (0.2500, 0.0511, 0.8846)
Ca (0.7500, 0.8730, 0.4488)
Ca (0.7500, 0.6270, 0.9488)
Ca (0.2500, 0.1270, 0.5512)
Ca (0.7500, 0.2065, 0.2765)
Pt (0.7500, 0.6294, 0.3760)
Ca (0.7500, 0.5511, 0.6154)
Zn (0.7500, 0.1901, 0.0171)
Pt (0.2500, 0.1294, 0.1240)
Pt (0.7500, 0.8706, 0.8760)

VASP calculation (PBE-GGA) on a geometry-optimized Ca2Zn3Pt2 structure.

* crystal system: monoclinic
* ΔE_f: -4.8 eV per formula unit

Lattice parameters (Å, degrees): 4.1860 5.5575 7.1160 112.08 90.00 112.12
Fractional coordinates of all 7 atoms:
Pt (0.8644, 0.7288, 0.7956)
Pt (0.1356, 0.2712, 0.2044)
Ca (0.1436, 0.2873, 0.7727)
Ca (0.8564, 0.7127, 0.2273)
Zn (0.3569, 0.7138, 0.5598)
Zn (0.6431, 0.2862, 0.4402)
Zn (0.5000, 0.0000, 0.0000)

Q: What is the formula in the fourth record?
A: Ca2Zn3Pt2